This record from Alexandria via LeMat-Bulk describes PmNd5Sn4 after structural relaxation. The functional is PBE-GGA.

```
10
Lattice="-0.701 -5.089 -1.907 3.243 1.900 -6.264 4.465 -1.539 10.341" Properties=species:S:1:pos:R:3 pbc="T T T"
Sn 0.929 0.435 -1.502
Pm -0.350 -2.545 -0.953
Nd 1.271 -1.595 -4.085
Nd 4.086 0.237 -2.134
Sn 6.079 -5.163 3.672
Nd 2.922 -4.965 4.304
Sn 5.592 -0.944 0.465
Sn 1.416 -3.784 1.705
Nd 4.581 -3.987 1.083
Nd 2.426 -0.742 1.088
```

The energy relative to the elements is -0.564 eV/atom. The calculated density comes out at 6.71 g/cm³. Its space-group type is C2/m (12). The density of states at the Fermi level is 6.63 states/eV per cell. As for the crystal system: monoclinic.